# 1
# IrOs2Pb, optimized geometry, DFT PBE-GGA
data_IrOs2Pb
_chemical_formula_sum 'Ir3 Os6 Pb3'
_space_group_name_H-M_alt 'R -3 m'
_space_group_IT_number 166
_space_group_name_Hall '-R 3 2"'
_cell_length_a 2.8671
_cell_length_b 2.8671
_cell_length_c 28.9236
_cell_angle_alpha 90.00
_cell_angle_beta 90.00
_cell_angle_gamma 120.00
loop_
_atom_site_label
_atom_site_type_symbol
_atom_site_fract_x
_atom_site_fract_y
_atom_site_fract_z
Ir1 Ir 0.0000 0.0000 0.0000
Os1 Os 0.0000 0.0000 0.2600
Pb1 Pb 0.0000 0.0000 0.5000
# V: 205.91 Å³/cell
# total energy: -7.927 eV per atom

=====

# 2
# HgTe2, optimized geometry, DFT PBE-GGA
data_HgTe2
_chemical_formula_sum 'Hg4 Te8'
_space_group_name_H-M_alt 'P a -3'
_space_group_IT_number 205
_space_group_name_Hall '-P 2ac 2ab 3'
_cell_length_a 7.358
_cell_length_b 7.358
_cell_length_c 7.358
_cell_angle_alpha 90.00
_cell_angle_beta 90.00
_cell_angle_gamma 90.00
loop_
_atom_site_label
_atom_site_type_symbol
_atom_site_fract_x
_atom_site_fract_y
_atom_site_fract_z
Hg1 Hg 0.000 0.000 0.000
Te1 Te 0.108 0.608 0.892
# V: 398.36 Å³/cell
# raw formation energy: 0.023 eV/atom